Record 1
BeCo2Pb | GGA-PBE | optimized geometry

Cell: 3.948 2.973 5.083 Å, 73.66 90.00 90.00°
Site moments in Bohr magnetons follow the coordinates.
Sites, in units of the cell vectors:
Pb: 0.000 0.546 0.523  -0.01
Be: 0.500 0.901 0.819  -0.05
Co: 0.000 0.818 0.994  1.07
Co: 0.500 0.235 0.164  1.39

size of the total moment: 2.3 μB per formula unit
formation enthalpy at 0 K: 0.446 eV per atom


Record 2
Th3OsC | GGA-PBE | optimized geometry

Cell: 3.826 6.542 9.761 Å, 90.00 90.00 107.03°
Sites, in units of the cell vectors:
Th: 0.864 0.728 0.563
Th: 0.136 0.272 0.437
Th: 0.136 0.272 0.063
Th: 0.864 0.728 0.937
Th: 0.428 0.857 0.250
Th: 0.572 0.143 0.750
Os: 0.748 0.496 0.250
Os: 0.252 0.504 0.750
C: 0.500 0.000 0.000
C: 0.500 0.000 0.500

size of the total moment: 0.0 μB per formula unit
formation enthalpy at 0 K: -0.262 eV per atom


Record 3
LaSmHgAu | GGA-PBE | optimized geometry

Cell: 3.778 3.778 7.626 Å, 90.00 90.00 90.00°
Sites, in units of the cell vectors:
La: 0.500 0.500 0.117
Sm: 0.500 0.500 0.593
Hg: 0.000 0.000 0.844
Au: 0.000 0.000 0.374

size of the total moment: 0.1 μB per formula unit
formation enthalpy at 0 K: -0.638 eV per atom


Record 4
Ca4SmHo3Te8 | GGA-PBE | optimized geometry

Cell: 8.790 8.919 8.791 Å, 119.52 120.00 90.00°
Sites, in units of the cell vectors:
Ca: 0.500 0.000 0.000
Ca: 0.500 0.000 0.500
Ca: 0.000 0.000 0.000
Ca: 0.000 0.000 0.500
Sm: 0.000 0.500 0.000
Ho: 0.500 0.500 0.000
Ho: 0.500 0.500 0.500
Ho: 0.000 0.500 0.500
Te: 0.251 0.746 0.995
Te: 0.251 0.746 0.502
Te: 0.252 0.257 0.505
Te: 0.744 0.746 0.995
Te: 0.256 0.254 0.005
Te: 0.748 0.743 0.495
Te: 0.749 0.254 0.498
Te: 0.749 0.254 0.005

size of the total moment: 0.0 μB per formula unit
ΔE_f (raw): -1.452 eV per atom


Record 5
AlGaTc | GGA-PBE | optimized geometry

Cell: 2.962 2.785 6.569 Å, 102.41 93.67 62.13°
Sites, in units of the cell vectors:
Al: 0.852 0.266 0.625
Ga: 0.785 0.619 0.256
Tc: 0.191 0.756 0.937

size of the total moment: 0.0 μB per formula unit
formation enthalpy at 0 K: -0.092 eV per atom


Record 6
SrFe2NiAg | GGA-PBE | optimized geometry

Cell: 4.537 4.537 5.020 Å, 90.00 90.00 90.00°
Site moments in Bohr magnetons follow the coordinates.
Sites, in units of the cell vectors:
Sr: 0.500 0.500 0.500  -0.05
Fe: 0.000 0.500 0.000  2.98
Fe: 0.500 0.000 0.000  2.98
Ag: 0.000 0.000 0.500  0.00
Ni: 0.000 0.000 0.000  0.73

size of the total moment: 6.5 μB per formula unit
formation enthalpy at 0 K: 0.529 eV per atom


Record 7
SrAuBr2 | GGA-PBE | optimized geometry

Cell: 4.194 5.047 5.047 Å, 90.00 90.00 90.00°
Sites, in units of the cell vectors:
Sr: 0.500 0.500 0.000
Au: 0.500 0.000 0.500
Br: 0.000 0.000 0.000
Br: 0.000 0.500 0.500

size of the total moment: 0.0 μB per formula unit
ΔE_f (raw): -0.979 eV per atom


Record 8
Nd3GeTe2 | GGA-PBE | optimized geometry

Cell: 7.650 7.709 7.709 Å, 119.39 99.76 99.76°
Sites, in units of the cell vectors:
Nd: 0.003 0.203 0.353
Nd: 0.503 0.353 0.203
Nd: 0.000 0.500 0.000
Nd: 0.997 0.797 0.647
Nd: 0.500 0.000 0.500
Nd: 0.497 0.647 0.797
Ge: 0.250 0.588 0.412
Ge: 0.750 0.412 0.588
Te: 0.250 0.918 0.082
Te: 0.250 0.243 0.757
Te: 0.750 0.082 0.918
Te: 0.750 0.757 0.243

size of the total moment: 0.0 μB per formula unit
ΔE_f (raw): -1.324 eV per atom